Computed, not measured: a relaxed structure of Li2VRu2 at the PBE level of DFT.

a = 6.2715 Å, b = 6.2715 Å, c = 3.0587 Å
α = 90.00°, β = 90.00°, γ = 90.00°
Closest atoms and distances in Å follow each position.
Space group P4/mbm (No. 127)
Unique sites:
Li 0.1073 0.3927 0.0000 x4  1 Li 1.90
V 0.0000 0.0000 0.0000 x2  4 Li 2.55, 8 Ru 2.74
Ru 0.1964 0.6964 0.5000 x4  6 Li 2.32-2.51

- ΔE to the lowest computed polymorph: 0.0 kJ/mol of atoms
- DFT total energy: -5.975 eV/atom
- Formation energy from the elements: 0.324 eV per atom
- Total magnetization: 0.002 Bohr magnetons per cell